[1]
Here is a relaxed structure of FeRu2Cl from the Alexandria database. Energies are from PBE.

It has space group Pmmm (No. 47), with a = 2.797 Å, b = 4.382 Å, c = 4.708 Å, α = 90.00°, β = 90.00° and γ = 90.00°. Symmetry generates all atoms from Fe at (0.000, 0.000, 0.000), Ru at (0.000, 0.500, 0.500), Ru at (0.500, 0.500, 0.000) and Cl at (0.500, 0.000, 0.500).

The total DFT energy (no corrections) is -25.92 eV per formula unit.

***

[2]
Here is a relaxed structure of Hg4As from the Alexandria database. Energies are from PBE.

It has space group I4/m (No. 87), with a = 7.144 Å, b = 7.144 Å, c = 4.656 Å, α = 90.00°, β = 90.00° and γ = 90.00°. Symmetry generates all atoms from Hg at (0.107, 0.300, 0.000) and As at (0.000, 0.000, 0.500).

The formation enthalpy at 0 K is 0.241 eV per atom.

***

[3]
Here is a relaxed structure of ZrCu2Pt2 from the Alexandria database. Energies are from PBE.

It has space group I4/mmm (No. 139), with a = 3.517 Å, b = 3.517 Å, c = 13.329 Å, α = 90.00°, β = 90.00° and γ = 90.00°. Symmetry generates all atoms from Zr at (0.000, 0.000, 0.000), Cu at (0.000, 0.500, 0.250) and Pt at (0.000, 0.000, 0.397).

The formation enthalpy at 0 K is -0.477 eV per atom.

***

[4]
Here is a relaxed structure of Rb2InBi2 from the Alexandria database. Energies are from PBE.

It has space group I4/mmm (No. 139), with a = 4.490 Å, b = 4.490 Å, c = 23.288 Å, α = 90.00°, β = 90.00° and γ = 90.00°. Symmetry generates all atoms from Rb at (0.000, 0.000, 0.110), In at (0.000, 0.000, 0.500) and Bi at (0.000, 0.500, 0.250).

The formation enthalpy at 0 K is 0.008 eV per atom.